1.
Here is a relaxed structure of BaCuSbPd from OQMD. Energies are from PBE.

Cell lengths 7.367, 7.367, 7.367 Å; angles 90.00, 90.00, 90.00 degrees
Space group F-43m (No. 216)
Asymmetric unit:
Ba 0.000 0.000 0.000
Cu 0.000 0.000 0.500
Sb 0.250 0.250 0.250
Pd 0.250 0.250 0.750

Computed properties:
Distance to the lowest polymorph of the same formula, meV/atom: 258
Crystal system: cubic

2.
Here is a relaxed structure of BaCuSn2Pd from OQMD. Energies are from PBE.

Cell lengths 4.737, 4.737, 11.000 Å; angles 90.00, 90.00, 90.00 degrees
Space group P4/nmm (No. 129, origin choice 2)
Asymmetric unit:
Ba 0.250 0.250 0.242
Cu 0.250 0.750 0.000
Sn 0.250 0.250 0.881
Sn 0.250 0.750 0.500
Pd 0.250 0.250 0.629

Computed properties:
Crystal system: tetragonal
Uncorrected energy, eV for the cell shown: -42.92

3.
Here is a relaxed structure of Ba2CuSn4Pd from OQMD. Energies are from PBE.

Cell lengths 4.720, 4.874, 19.749 Å; angles 90.00, 90.00, 90.00 degrees
Space group Amm2 (No. 38)
Asymmetric unit:
Ba 0.000 0.000 0.000
Ba 0.500 0.000 0.218
Cu 0.500 0.000 0.432
Sn 0.000 0.000 0.362
Sn 0.000 0.000 0.652
Sn 0.500 0.000 0.566
Sn 0.500 0.000 0.861
Pd 0.000 0.000 0.791

Computed properties:
Crystal system: orthorhombic
Uncorrected energy, eV for the cell shown: -66.69

4.
Here is a relaxed structure of BaTaCuPd from OQMD. Energies are from PBE.

Cell lengths 7.063, 7.063, 7.063 Å; angles 90.00, 90.00, 90.00 degrees
Space group F-43m (No. 216)
Asymmetric unit:
Ba 0.000 0.000 0.000
Ta 0.000 0.000 0.500
Cu 0.250 0.250 0.750
Pd 0.250 0.250 0.250

Computed properties:
Distance to the lowest polymorph of the same formula, meV/atom: 0
Crystal system: cubic

5.
Here is a relaxed structure of BaTaCuPd from OQMD. Energies are from PBE.

Cell lengths 6.831, 6.831, 6.831 Å; angles 90.00, 90.00, 90.00 degrees
Space group F-43m (No. 216)
Asymmetric unit:
Ba 0.000 0.000 0.000
Ta 0.250 0.250 0.750
Cu 0.250 0.250 0.250
Pd 0.000 0.000 0.500

Computed properties:
Distance to the lowest polymorph of the same formula, meV/atom: 31
Crystal system: cubic

6.
Here is a relaxed structure of BaTaCuPd from OQMD. Energies are from PBE.

Cell lengths 6.817, 6.817, 6.817 Å; angles 90.00, 90.00, 90.00 degrees
Space group F-43m (No. 216)
Asymmetric unit:
Ba 0.000 0.000 0.000
Ta 0.250 0.250 0.250
Cu 0.000 0.000 0.500
Pd 0.250 0.250 0.750

Computed properties:
Distance to the lowest polymorph of the same formula, meV/atom: 153
Crystal system: cubic